{"formula": "KTa3Bi5", "functional": "PBE", "state": "optimized geometry", "rho_g_cm3": 9.70, "m_tot_mub_per_atom": 0.000, "e_tot_ev_per_fu": -56.95, "spacegroup": "No. 191", "cell": [[5.898, 0.000, 0.000], [-2.949, 5.108, 0.000], [0.000, 0.000, 9.240]], "species": ["K", "Ta", "Ta", "Ta", "Bi", "Bi", "Bi", "Bi", "Bi"], "fractional_positions": [[0.000, 0.000, 0.000], [0.000, 0.500, 0.500], [0.500, 0.000, 0.500], [0.500, 0.500, 0.500], [0.000, 0.000, 0.500], [0.333, 0.667, 0.229], [0.333, 0.667, 0.771], [0.667, 0.333, 0.229], [0.667, 0.333, 0.771]]}